[1]
The following is a DFT calculation (PBE) of a geometry-optimized Tl5InPb4 structure.

## Properties
DFT formation energy = 26 meV/atom
DFT total energy = -2.91 eV/atom
calculated volume = 308.69 Å³ per cell

a = 3.631 Å, b = 3.631 Å, c = 23.420 Å
α = 90.00°, β = 90.00°, γ = 90.00°
Sites, in units of the cell vectors:
Tl 0.000 0.000 0.000
Tl 0.000 0.000 0.203
Tl 0.000 0.000 0.405
Tl 0.000 0.000 0.595
Tl 0.000 0.000 0.797
In 0.500 0.500 0.500
Pb 0.500 0.500 0.102
Pb 0.500 0.500 0.303
Pb 0.500 0.500 0.697
Pb 0.500 0.500 0.898


[2]
The following is a DFT calculation (PBE) of a geometry-optimized SrZnGe2Ir structure.

## Properties
DFT formation energy = -413 meV/atom
DFT total energy = -4.62 eV/atom
calculated volume = 99.67 Å³ per cell

a = 6.302 Å, b = 6.302 Å, c = 6.302 Å
α = 140.68°, β = 140.68°, γ = 56.82°
Sites, in units of the cell vectors:
Sr 0.000 0.000 0.000
Zn 0.250 0.750 0.500
Ge 0.376 0.376 0.000
Ge 0.624 0.624 0.000
Ir 0.750 0.250 0.500


[3]
The following is a DFT calculation (PBE) of a geometry-optimized SrCr2Ir structure.

## Properties
excess energy over the best structure of this formula in the dataset = 2.222 eV/f.u.
DFT formation energy = 946 meV/atom
DFT total energy = -6.50 eV/atom
calculated volume = 63.89 Å³ per cell

a = 4.487 Å, b = 4.487 Å, c = 4.487 Å
α = 60.00°, β = 60.00°, γ = 60.00°
Sites, in units of the cell vectors:
Sr 0.000 0.000 0.000
Cr 0.250 0.250 0.250
Cr 0.750 0.750 0.750
Ir 0.500 0.500 0.500


[4]
The following is a DFT calculation (PBE) of a geometry-optimized EuDyHo structure.

## Properties
DFT formation energy = 60 meV/atom
DFT total energy = -6.42 eV/atom
calculated volume = 101.76 Å³ per cell

a = 8.126 Å, b = 8.126 Å, c = 8.126 Å
α = 154.16°, β = 154.16°, γ = 36.86°
Sites, in units of the cell vectors:
Eu 0.000 0.000 0.000
Dy 0.675 0.675 0.000
Ho 0.325 0.325 0.000


[5]
The following is a DFT calculation (PBE) of a geometry-optimized HgB2TeO8 structure.

## Properties
DFT total energy = -5.83 eV/atom
calculated volume = 146.99 Å³ per cell
formation energy without anion corrections = -1.125 eV/atom

a = 4.676 Å, b = 4.676 Å, c = 7.409 Å
α = 96.35°, β = 96.35°, γ = 66.25°
Sites, in units of the cell vectors:
Hg 0.000 0.000 0.000
B 0.336 0.336 0.300
B 0.664 0.664 0.700
Te 0.000 0.000 0.500
O 0.210 0.686 0.308
O 0.235 0.235 0.451
O 0.256 0.256 0.111
O 0.314 0.790 0.692
O 0.686 0.210 0.308
O 0.744 0.744 0.889
O 0.765 0.765 0.549
O 0.790 0.314 0.692


[6]
The following is a DFT calculation (PBE) of a geometry-optimized Sr2Zn5Ir3 structure.

## Properties
DFT formation energy = -252 meV/atom
DFT total energy = -3.88 eV/atom
calculated volume = 392.12 Å³ per cell

a = 8.661 Å, b = 8.661 Å, c = 8.661 Å
α = 105.75°, β = 88.38°, γ = 139.19°
Sites, in units of the cell vectors:
Sr 0.136 0.231 0.367
Sr 0.364 0.731 0.095
Sr 0.636 0.269 0.905
Sr 0.864 0.769 0.633
Zn 0.035 0.750 0.285
Zn 0.098 0.662 0.759
Zn 0.250 0.250 0.000
Zn 0.402 0.162 0.564
Zn 0.465 0.750 0.715
Zn 0.535 0.250 0.285
Zn 0.598 0.838 0.436
Zn 0.750 0.750 0.000
Zn 0.902 0.338 0.241
Zn 0.965 0.250 0.715
Ir 0.142 0.896 0.038
Ir 0.250 0.750 0.500
Ir 0.358 0.396 0.754
Ir 0.642 0.604 0.246
Ir 0.750 0.250 0.500
Ir 0.858 0.104 0.962


[7]
The following is a DFT calculation (PBE) of a geometry-optimized NbGa2Sn structure.

## Properties
DFT formation energy = 278 meV/atom
DFT total energy = -4.75 eV/atom
calculated volume = 164.76 Å³ per cell

a = 6.095 Å, b = 6.095 Å, c = 6.095 Å
α = 102.39°, β = 102.39°, γ = 124.80°
Sites, in units of the cell vectors:
Nb 0.000 0.000 0.000
Nb 0.750 0.250 0.500
Ga 0.110 0.625 0.985
Ga 0.375 0.360 0.485
Ga 0.640 0.125 0.015
Ga 0.875 0.890 0.515
Sn 0.250 0.750 0.500
Sn 0.500 0.500 0.000


[8]
The following is a DFT calculation (PBE) of a geometry-optimized YBe2NiHg structure.

## Properties
DFT formation energy = 1890 meV/atom
DFT total energy = -2.11 eV/atom
calculated volume = 139.63 Å³ per cell

a = 4.996 Å, b = 4.996 Å, c = 5.594 Å
α = 90.00°, β = 90.00°, γ = 90.00°
Sites, in units of the cell vectors:
Y 0.000 0.000 0.000
Be 0.000 0.500 0.000
Be 0.500 0.000 0.000
Ni 0.500 0.500 0.500
Hg 0.000 0.000 0.500


[9]
The following is a DFT calculation (PBE) of a geometry-optimized Nd2ScHg5 structure.

## Properties
DFT formation energy = -358 meV/atom
DFT total energy = -2.53 eV/atom
calculated volume = 199.81 Å³ per cell

a = 8.358 Å, b = 8.358 Å, c = 8.358 Å
α = 144.08°, β = 144.08°, γ = 51.71°
Sites, in units of the cell vectors:
Nd 0.239 0.239 0.000
Nd 0.761 0.761 0.000
Sc 0.500 0.500 0.000
Hg 0.000 0.000 0.000
Hg 0.114 0.614 0.500
Hg 0.386 0.886 0.500
Hg 0.614 0.114 0.500
Hg 0.886 0.386 0.500


[10]
The following is a DFT calculation (PBE) of a geometry-optimized SbPdPb structure.

## Properties
excess energy over the best structure of this formula in the dataset = 0.187 eV/f.u.
DFT total energy = -4.53 eV/atom
calculated volume = 79.63 Å³ per cell
formation energy without anion corrections = -0.190 eV/atom

a = 4.398 Å, b = 4.398 Å, c = 4.755 Å
α = 90.00°, β = 90.00°, γ = 120.00°
Sites, in units of the cell vectors:
Sb 0.000 0.000 0.000
Pd 0.667 0.333 0.147
Pb 0.333 0.667 0.489


[11]
The following is a DFT calculation (PBE) of a geometry-optimized Pm12CuPt6 structure.

## Properties
DFT formation energy = -698 meV/atom
DFT total energy = -5.82 eV/atom
calculated volume = 573.60 Å³ per cell

a = 8.453 Å, b = 8.453 Å, c = 8.453 Å
α = 99.87°, β = 99.87°, γ = 99.87°
Sites, in units of the cell vectors:
Pm 0.055 0.678 0.930
Pm 0.070 0.945 0.322
Pm 0.177 0.423 0.582
Pm 0.322 0.070 0.945
Pm 0.418 0.823 0.577
Pm 0.423 0.582 0.177
Pm 0.577 0.418 0.823
Pm 0.582 0.177 0.423
Pm 0.678 0.930 0.055
Pm 0.823 0.577 0.418
Pm 0.930 0.055 0.678
Pm 0.945 0.322 0.070
Cu 0.000 0.000 0.000
Pt 0.135 0.615 0.305
Pt 0.305 0.135 0.615
Pt 0.385 0.695 0.865
Pt 0.615 0.305 0.135
Pt 0.695 0.865 0.385
Pt 0.865 0.385 0.695


[12]
The following is a DFT calculation (PBE) of a geometry-optimized TaMo4Ru structure.

## Properties
DFT formation energy = 262 meV/atom
DFT total energy = -10.48 eV/atom
calculated volume = 99.28 Å³ per cell

a = 5.198 Å, b = 5.198 Å, c = 5.198 Å
α = 60.00°, β = 60.00°, γ = 60.00°
Sites, in units of the cell vectors:
Ta 0.000 0.000 0.000
Mo 0.121 0.626 0.626
Mo 0.626 0.121 0.626
Mo 0.626 0.626 0.121
Mo 0.626 0.626 0.626
Ru 0.250 0.250 0.250